1.
Below is crystalline PuCrS at its relaxed geometry, with properties calculated at the PBE-GGA level.

Geometry as POSCAR:
```
PuCrS
1.0
3.856 0.000 0.000
0.000 3.856 0.000
0.000 0.000 7.188
Cr Pu S
2 2 2
Direct
0.500 0.000 0.028
0.000 0.500 0.972
0.500 0.000 0.725
0.000 0.500 0.275
0.500 0.000 0.351
0.000 0.500 0.649
```

Volume = 17.810 Å³/atom
Space-group type = P4/nmm, No. 129
Raw formation energy = -1.74 eV/f.u.

***

2.
Below is crystalline Ta2PbSe at its relaxed geometry, with properties calculated at the PBE-GGA level.

Geometry as POSCAR:
```
Ta2PbSe
1.0
6.088 0.322 0.001
3.205 5.187 -0.001
-4.104 -3.669 2.620
Ta Pb Se
2 1 1
Direct
0.033 0.033 0.000
0.755 0.255 0.500
0.488 0.488 0.000
0.223 0.723 0.500
```

Volume = 20.005 Å³/atom
Relative energy among the computed polymorphs = 36.5 kJ per mole of atoms
Space-group type = Imm2, No. 44
Raw formation energy = 1.25 eV/f.u.

***

3.
Below is crystalline Pm5Nd2Ni4 at its relaxed geometry, with properties calculated at the PBE-GGA level.

Geometry as POSCAR:
```
Pm5Nd2Ni4
1.0
6.968 0.000 0.000
3.484 6.380 -1.433
3.484 -0.176 6.619
Ni Pm Nd
4 5 2
Direct
0.217 0.073 0.494
0.649 0.853 0.848
0.783 0.927 0.506
0.351 0.147 0.152
0.721 0.211 0.826
0.000 0.500 0.500
0.242 0.211 0.826
0.279 0.789 0.174
0.758 0.789 0.174
0.295 0.732 0.679
0.705 0.268 0.321
```

Volume = 26.588 Å³/atom
DFT formation energy = -1.13 eV/f.u.
Space-group type = C2/m, No. 12

***

4.
Below is crystalline ZnRe4Mo at its relaxed geometry, with properties calculated at the PBE-GGA level.

Geometry as POSCAR:
```
ZnRe4Mo
1.0
0.000 3.647 3.647
3.647 0.000 3.647
3.647 3.647 0.000
Zn Re Mo
1 4 1
Direct
0.750 0.750 0.750
0.376 0.376 0.376
0.873 0.376 0.376
0.376 0.873 0.376
0.376 0.376 0.873
0.000 0.000 0.000
```

Volume = 16.166 Å³/atom
DFT formation energy = 2.27 eV/f.u.
Space-group type = F-43m, No. 216

***

5.
Below is crystalline Rb2LiCdBi2 at its relaxed geometry, with properties calculated at the PBE-GGA level.

Geometry as POSCAR:
```
Rb2LiCdBi2
1.0
7.129 0.000 0.000
0.000 7.223 0.000
-3.565 -3.611 8.607
Rb Bi Li Cd
4 4 2 2
Direct
0.084 0.332 0.663
0.579 0.832 0.663
0.421 0.168 0.337
0.916 0.668 0.337
0.658 0.404 0.809
0.849 0.096 0.191
0.151 0.904 0.809
0.342 0.596 0.191
0.000 0.250 0.000
0.000 0.750 0.000
0.500 0.250 0.000
0.500 0.750 0.000
```

Volume = 36.935 Å³/atom
DFT formation energy = -2.10 eV/f.u.
Space-group type = Ibam, No. 72

***

6.
Below is crystalline YSc2Ta at its relaxed geometry, with properties calculated at the PBE-GGA level.

Geometry as POSCAR:
```
YSc2Ta
1.0
5.564 -0.019 -0.022
1.852 5.246 0.022
-3.695 -2.633 3.221
Y Sc Ta
1 2 1
Direct
0.750 0.250 0.500
0.000 0.000 0.000
0.250 0.750 0.500
0.500 0.500 0.000
```

Volume = 23.532 Å³/atom
DFT formation energy = 0.99 eV/f.u.
Relative energy among the computed polymorphs = 8.7 kJ per mole of atoms
Space-group type = I-4m2, No. 119

***

7.
Below is crystalline HfRhS2N at its relaxed geometry, with properties calculated at the PBE-GGA level.

Geometry as POSCAR:
```
HfRhS2N
1.0
-2.730 -3.794 1.650
2.943 -3.170 -2.420
2.394 -0.291 3.292
Hf S Rh N
1 2 1 1
Direct
0.000 0.000 0.000
0.000 0.500 0.000
0.500 0.000 0.000
0.500 0.500 0.500
0.000 0.000 0.500
```

Volume = 20.050 Å³/atom
Relative energy among the computed polymorphs = 14.5 kJ per mole of atoms
Space-group type = P4/mmm, No. 123
Raw formation energy = 1.59 eV/f.u.

***

8.
Below is crystalline SmInIr4 at its relaxed geometry, with properties calculated at the PBE-GGA level.

Geometry as POSCAR:
```
SmInIr4
1.0
-2.288 4.819 0.384
-5.006 0.446 1.829
-0.908 2.154 4.810
Ir Sm In
4 1 1
Direct
0.625 0.625 0.124
0.625 0.625 0.625
0.124 0.625 0.625
0.625 0.124 0.625
0.250 0.250 0.250
0.000 0.000 0.000
```

Volume = 18.029 Å³/atom
DFT formation energy = -2.12 eV/f.u.
Space-group type = F-43m, No. 216